[1]
First-principles (PBE-GGA) data for crystalline TbNdLuCd at its relaxed geometry, as listed in Alexandria via LeMat-Bulk.

Cell lengths 5.476, 5.476, 5.476 Å; angles 60.00, 60.00, 60.00 degrees
Element x y z (fractional)
Lu: 0.000 0.000 0.000
Nd: 0.750 0.750 0.750
Cd: 0.500 0.500 0.500
Tb: 0.250 0.250 0.250

Values from the calculation:
D(E_F): 4.86 states/eV/cell
energy of formation: -0.051 eV/atom

=====

[2]
First-principles (PBE-GGA) data for crystalline La3Pr2ErTe6 at its relaxed geometry, as listed in Alexandria via LeMat-Bulk.

Cell lengths 4.506, 9.081, 10.091 Å; angles 102.48, 102.90, 90.00 degrees
Element x y z (fractional)
La: 0.172 0.834 0.344
La: 0.828 0.166 0.656
La: 0.500 0.500 0.000
Pr: 0.831 0.665 0.663
Pr: 0.169 0.335 0.337
Te: 0.659 0.081 0.319
Te: 0.999 0.236 0.998
Te: 0.334 0.418 0.668
Te: 0.341 0.919 0.681
Te: 0.666 0.582 0.332
Te: 0.001 0.764 0.002
Er: 0.500 0.000 0.000

Values from the calculation:
ΔE_f (raw): -1.483 eV/atom
D(E_F): 7.57 states/eV/cell

=====

[3]
First-principles (PBE-GGA) data for crystalline Ba2TiO4 at its relaxed geometry, as listed in Alexandria via LeMat-Bulk.

Cell lengths 6.205, 10.695, 23.359 Å; angles 90.00, 90.00, 90.00 degrees
Element x y z (fractional)
O: 0.536 0.294 0.250
O: 0.036 0.794 0.250
O: 0.513 0.149 0.076
O: 0.808 0.447 0.671
O: 0.501 0.641 0.773
O: 0.829 0.558 0.890
O: 0.324 0.059 0.946
O: 0.682 0.053 0.502
O: 0.006 0.856 0.606
O: 0.179 0.060 0.278
O: 0.001 0.141 0.727
O: 0.487 0.797 0.924
O: 0.036 0.706 0.750
O: 0.824 0.941 0.054
O: 0.324 0.441 0.446
O: 0.309 0.940 0.166
O: 0.308 0.553 0.329
O: 0.470 0.706 0.079
O: 0.809 0.060 0.834
O: 0.013 0.649 0.424
O: 0.487 0.703 0.424
O: 0.970 0.206 0.421
O: 0.309 0.560 0.666
O: 0.506 0.356 0.894
O: 0.013 0.851 0.924
O: 0.808 0.053 0.171
O: 0.182 0.553 0.998
O: 0.809 0.440 0.334
O: 0.682 0.447 0.002
O: 0.308 0.947 0.829
O: 0.501 0.859 0.273
O: 0.329 0.058 0.610
O: 0.829 0.942 0.390
O: 0.001 0.359 0.227
O: 0.329 0.442 0.110
O: 0.536 0.206 0.750
O: 0.824 0.559 0.554
O: 0.506 0.144 0.394
O: 0.182 0.947 0.498
O: 0.987 0.203 0.076
O: 0.006 0.644 0.106
O: 0.513 0.351 0.576
O: 0.970 0.294 0.921
O: 0.679 0.940 0.722
O: 0.679 0.560 0.222
O: 0.179 0.440 0.778
O: 0.987 0.297 0.576
O: 0.470 0.794 0.579
Ba: 0.282 0.570 0.556
Ba: 0.737 0.701 0.664
Ba: 0.788 0.701 0.997
Ba: 0.288 0.299 0.003
Ba: 0.237 0.201 0.836
Ba: 0.239 0.572 0.220
Ba: 0.265 0.576 0.890
Ba: 0.288 0.201 0.503
Ba: 0.253 0.302 0.671
Ba: 0.239 0.928 0.720
Ba: 0.753 0.698 0.329
Ba: 0.237 0.299 0.336
Ba: 0.737 0.799 0.164
Ba: 0.782 0.070 0.944
Ba: 0.265 0.924 0.390
Ba: 0.788 0.799 0.497
Ba: 0.739 0.428 0.780
Ba: 0.253 0.198 0.171
Ba: 0.753 0.802 0.829
Ba: 0.282 0.930 0.056
Ba: 0.782 0.430 0.444
Ba: 0.765 0.076 0.610
Ba: 0.739 0.072 0.280
Ba: 0.765 0.424 0.110
Ti: 0.747 0.412 0.259
Ti: 0.247 0.588 0.741
Ti: 0.257 0.587 0.072
Ti: 0.747 0.088 0.759
Ti: 0.780 0.088 0.095
Ti: 0.280 0.588 0.405
Ti: 0.757 0.413 0.928
Ti: 0.247 0.912 0.241
Ti: 0.280 0.912 0.905
Ti: 0.257 0.913 0.572
Ti: 0.780 0.412 0.595
Ti: 0.757 0.087 0.428

Values from the calculation:
ΔE_f (raw): -2.997 eV/atom
D(E_F): 0.00 states/eV/cell

=====

[4]
First-principles (PBE-GGA) data for crystalline Ca2Zn3Cu12Ir at its relaxed geometry, as listed in Alexandria via LeMat-Bulk.

Cell lengths 9.925, 9.925, 9.925 Å; angles 35.72, 35.72, 35.72 degrees
Element x y z (fractional)
Cu: 0.067 0.067 0.649
Cu: 0.419 0.419 0.813
Cu: 0.933 0.933 0.351
Cu: 0.351 0.933 0.933
Cu: 0.067 0.649 0.067
Cu: 0.187 0.581 0.581
Cu: 0.813 0.419 0.419
Cu: 0.649 0.067 0.067
Cu: 0.419 0.813 0.419
Cu: 0.933 0.351 0.933
Cu: 0.581 0.581 0.187
Cu: 0.581 0.187 0.581
Ir: 0.000 0.000 0.000
Ca: 0.650 0.650 0.650
Ca: 0.350 0.350 0.350
Zn: 0.000 0.000 0.500
Zn: 0.000 0.500 0.000
Zn: 0.500 0.000 0.000

Values from the calculation:
D(E_F): 5.82 states/eV/cell
energy of formation: 0.143 eV/atom

=====

Question: Which of these has the lowest D(E_F)?
Answer: Ba2TiO4

=====

Repeat the third record exactly.
First-principles (PBE-GGA) data for crystalline Ba2TiO4 at its relaxed geometry, as listed in Alexandria via LeMat-Bulk.

Cell lengths 6.205, 10.695, 23.359 Å; angles 90.00, 90.00, 90.00 degrees
Element x y z (fractional)
O: 0.536 0.294 0.250
O: 0.036 0.794 0.250
O: 0.513 0.149 0.076
O: 0.808 0.447 0.671
O: 0.501 0.641 0.773
O: 0.829 0.558 0.890
O: 0.324 0.059 0.946
O: 0.682 0.053 0.502
O: 0.006 0.856 0.606
O: 0.179 0.060 0.278
O: 0.001 0.141 0.727
O: 0.487 0.797 0.924
O: 0.036 0.706 0.750
O: 0.824 0.941 0.054
O: 0.324 0.441 0.446
O: 0.309 0.940 0.166
O: 0.308 0.553 0.329
O: 0.470 0.706 0.079
O: 0.809 0.060 0.834
O: 0.013 0.649 0.424
O: 0.487 0.703 0.424
O: 0.970 0.206 0.421
O: 0.309 0.560 0.666
O: 0.506 0.356 0.894
O: 0.013 0.851 0.924
O: 0.808 0.053 0.171
O: 0.182 0.553 0.998
O: 0.809 0.440 0.334
O: 0.682 0.447 0.002
O: 0.308 0.947 0.829
O: 0.501 0.859 0.273
O: 0.329 0.058 0.610
O: 0.829 0.942 0.390
O: 0.001 0.359 0.227
O: 0.329 0.442 0.110
O: 0.536 0.206 0.750
O: 0.824 0.559 0.554
O: 0.506 0.144 0.394
O: 0.182 0.947 0.498
O: 0.987 0.203 0.076
O: 0.006 0.644 0.106
O: 0.513 0.351 0.576
O: 0.970 0.294 0.921
O: 0.679 0.940 0.722
O: 0.679 0.560 0.222
O: 0.179 0.440 0.778
O: 0.987 0.297 0.576
O: 0.470 0.794 0.579
Ba: 0.282 0.570 0.556
Ba: 0.737 0.701 0.664
Ba: 0.788 0.701 0.997
Ba: 0.288 0.299 0.003
Ba: 0.237 0.201 0.836
Ba: 0.239 0.572 0.220
Ba: 0.265 0.576 0.890
Ba: 0.288 0.201 0.503
Ba: 0.253 0.302 0.671
Ba: 0.239 0.928 0.720
Ba: 0.753 0.698 0.329
Ba: 0.237 0.299 0.336
Ba: 0.737 0.799 0.164
Ba: 0.782 0.070 0.944
Ba: 0.265 0.924 0.390
Ba: 0.788 0.799 0.497
Ba: 0.739 0.428 0.780
Ba: 0.253 0.198 0.171
Ba: 0.753 0.802 0.829
Ba: 0.282 0.930 0.056
Ba: 0.782 0.430 0.444
Ba: 0.765 0.076 0.610
Ba: 0.739 0.072 0.280
Ba: 0.765 0.424 0.110
Ti: 0.747 0.412 0.259
Ti: 0.247 0.588 0.741
Ti: 0.257 0.587 0.072
Ti: 0.747 0.088 0.759
Ti: 0.780 0.088 0.095
Ti: 0.280 0.588 0.405
Ti: 0.757 0.413 0.928
Ti: 0.247 0.912 0.241
Ti: 0.280 0.912 0.905
Ti: 0.257 0.913 0.572
Ti: 0.780 0.412 0.595
Ti: 0.757 0.087 0.428

Values from the calculation:
ΔE_f (raw): -2.997 eV/atom
D(E_F): 0.00 states/eV/cell

=====

Question: What is the formula in the first record?
Answer: TbNdLuCd

=====

Question: The lowest D(E_F) belongs to which entry?
Answer: Ba2TiO4